# TlAg2As, relaxed, DFT PBE
data_TlAg2As
_symmetry_space_group_name_H-M 'C 1 2/m 1'
_symmetry_Int_Tables_number 12
_cell_length_a 8.749
_cell_length_b 3.221
_cell_length_c 6.411
_cell_angle_alpha 90.00
_cell_angle_beta 102.01
_cell_angle_gamma 90.00
loop_
_symmetry_equiv_pos_as_xyz
'x,y,z'
'-x,-y,-z'
'-x,y,-z'
'x,-y,z'
'x+1/2,y+1/2,z'
'-x+1/2,-y+1/2,-z'
'-x+1/2,y+1/2,-z'
'x+1/2,-y+1/2,z'
loop_
_atom_site_label
_atom_site_type_symbol
_atom_site_fract_x
_atom_site_fract_y
_atom_site_fract_z
Tl1 Tl 0.000 0.000 0.000
Ag1 Ag 0.245 0.000 0.702
As1 As 0.000 0.500 0.500
# - ρ: 9.30 g/cm3
# - DFT formation energy: 15.3 kJ per mole of atoms
# - Magnetization: 0.000 μB/atom
# - Electronic total energy: -24.2 eV/cell
# - Volume: 22.1 Å³/atom